[1]
Co2Pb (PBE, optimized geometry); calculated volume = 15.43 Å³ per atom; energy of formation from the pure elements = 555 meV per atom; N(E_F) = 1.474 states/eV/atom
1.0
1.567 -6.711 0.000
1.567 6.711 0.000
0.000 0.000 4.401
Co Pb
4 2
Direct
0.775 0.225 0.750
0.426 0.574 0.750
0.225 0.775 0.250
0.574 0.426 0.250
0.103 0.897 0.750
0.897 0.103 0.250


[2]
La2Al4InPt3 (PBE, optimized geometry); calculated volume = 20.58 Å³ per atom; energy of formation from the pure elements = -957 meV per atom; N(E_F) = 0.645 states/eV/atom
1.0
-3.944 1.783 -0.669
-0.682 -2.758 -3.333
-4.356 -7.100 6.766
La Al In Pt
2 4 1 3
Direct
0.500 0.000 0.242
0.000 0.500 0.758
0.500 0.500 0.000
0.000 0.000 0.000
0.500 0.000 0.646
0.000 0.500 0.354
0.500 0.500 0.500
0.000 0.000 0.500
0.500 0.000 0.876
0.000 0.500 0.124


[3]
Mn2TlTcSe (PBE, optimized geometry); calculated volume = 28.73 Å³ per atom; formation energy from raw total energies = 1855 meV/atom; N(E_F) = 1.681 states/eV/atom
1.0
5.053 0.000 0.000
0.000 5.627 0.000
0.000 0.000 5.053
Tl Mn Tc Se
1 2 1 1
Direct
0.000 0.000 0.000
0.000 0.000 0.500
0.500 0.000 0.000
0.500 0.500 0.500
0.000 0.500 0.000


[4]
SbBr2Cl (PBE, optimized geometry); calculated volume = 34.42 Å³ per atom; formation energy from raw total energies = 14 meV/atom; N(E_F) = 0.968 states/eV/atom
1.0
-0.894 -0.247 4.445
-2.582 -1.918 -3.206
4.369 -6.724 0.505
Sb Br Cl
1 2 1
Direct
0.500 0.500 0.750
0.000 0.000 0.980
0.000 0.000 0.520
0.500 0.500 0.250


> What is the calculated volume in the third record?

28.73 Å³ per atom


> Look up the N(E_F) of the fourth one.

0.968 states/eV/atom


> Which of these has the highest calculated volume?

SbBr2Cl